The following is a DFT calculation (PBE) of a relaxed structure of Y2Ni4Ge3Rh.

V ... 16.14 Å³ per atom
M_tot ... 0.00 μB/cell

Unit cell a=3.9930 b=3.9930 c=10.1227 alpha=90.00 beta=90.00 gamma=90.00
With the nearest neighbours (Å) after each atom.
Atoms (fractional coordinates):
Y1 0.0000 0.5000 0.2497  8 Ni 3.03-3.22, 6 Ge 3.08-3.23, 2 Rh 3.23
Y2 0.5000 0.0000 0.7503  8 Ni 3.03-3.22, 6 Ge 3.08-3.23, 2 Rh 3.23
Ni1 0.0000 0.0000 0.0000  4 Ge 2.38
Ni2 0.0000 0.5000 0.6420  3 Ge 2.33-2.46, 2 Rh 2.46
Ni3 0.5000 0.0000 0.3580  3 Ge 2.33-2.46, 2 Rh 2.46
Ni4 0.5000 0.5000 0.0000  4 Ge 2.38
Ge1 0.0000 0.5000 0.8722  5 Ni 2.33-2.38
Ge2 0.5000 0.0000 0.1278  5 Ni 2.33-2.38
Ge3 0.5000 0.5000 0.5000  4 Ni 2.46
Rh1 0.0000 0.0000 0.5000  4 Ni 2.46

=====

The following is a DFT calculation (PBE) of a relaxed structure of YNiGeRh.

V ... 18.58 Å³ per atom
M_tot ... 0.00 μB/cell

Unit cell a=4.3509 b=3.7016 c=9.2302 alpha=90.00 beta=90.00 gamma=90.00
With the nearest neighbours (Å) after each atom.
Atoms (fractional coordinates):
Y1 0.0000 0.0000 0.0000  3 Rh 2.55-2.78
Y2 0.0000 0.5000 0.5000  3 Rh 2.55-2.78
Ni1 0.5000 0.0000 0.2804  2 Ge 2.45
Ni2 0.5000 0.5000 0.7804  2 Ge 2.45
Ge1 0.5000 0.0000 0.6065  2 Rh 2.43, 2 Ni 2.45
Ge2 0.5000 0.5000 0.1065  2 Rh 2.43, 2 Ni 2.45
Rh1 0.0000 0.0000 0.7241  2 Ge 2.43, 1 Y 2.55
Rh2 0.0000 0.5000 0.2241  2 Ge 2.43, 1 Y 2.55

=====

The following is a DFT calculation (PBE) of a relaxed structure of Y2Ni3Ge4Rh.

V ... 16.53 Å³ per atom
M_tot ... 0.00 μB/cell

Unit cell a=4.0864 b=4.0864 c=9.8965 alpha=90.00 beta=90.00 gamma=90.00
With the nearest neighbours (Å) after each atom.
Atoms (fractional coordinates):
Y1 0.0000 0.5000 0.2439  8 Ge 3.11-3.16, 6 Ni 3.12-3.26, 2 Rh 3.26
Y2 0.5000 0.0000 0.7561  8 Ge 3.11-3.16, 6 Ni 3.12-3.26, 2 Rh 3.26
Ni1 0.0000 0.5000 0.8751  5 Ge 2.34-2.39
Ni2 0.5000 0.0000 0.1249  5 Ge 2.34-2.39
Ni3 0.5000 0.5000 0.5000  4 Ge 2.46
Ge1 0.0000 0.0000 0.0000  4 Ni 2.39
Ge2 0.0000 0.5000 0.6389  3 Ni 2.34-2.46, 2 Rh 2.46
Ge3 0.5000 0.0000 0.3611  3 Ni 2.34-2.46, 2 Rh 2.46
Ge4 0.5000 0.5000 0.0000  4 Ni 2.39
Rh1 0.0000 0.0000 0.5000  4 Ge 2.46

=====

The following is a DFT calculation (PBE) of a relaxed structure of YNiGe2Rh2.

V ... 17.82 Å³ per atom
M_tot ... 0.00 μB/cell

Unit cell a=4.4154 b=4.4154 c=5.4836 alpha=90.00 beta=90.00 gamma=90.00
With the nearest neighbours (Å) after each atom.
Atoms (fractional coordinates):
Y1 0.0000 0.0000 0.0000  2 Ni 2.74
Ni1 0.0000 0.0000 0.5000  4 Ge 2.21
Ge1 0.0000 0.5000 0.5000  2 Ni 2.21
Ge2 0.5000 0.0000 0.5000  2 Ni 2.21
Rh1 0.5000 0.5000 0.2412  4 Ge 2.62, 2 Rh 2.65-2.84
Rh2 0.5000 0.5000 0.7588  4 Ge 2.62, 2 Rh 2.65-2.84

=====

no.,E_tot (eV per atom),formation energy (meV/atom)
1,-6.349,-623
2,-6.447,-393
3,-6.350,-740
4,-6.361,-330